Record 1
# ReOsF2

A geometry-optimized ReOsF2 structure (PBE, Alexandria via LeMat-Bulk).

a b c (Å): 8.5570 8.5570 8.5570
angles (deg): 155.89 155.89 34.36
Atoms (fractional coordinates):
Re  0.0000  0.0000  0.0000
Re  0.7500  0.2500  0.5000
Os  0.2500  0.7500  0.5000
Os  0.5000  0.5000  0.0000
F  0.1148  0.6250  0.9898
F  0.3750  0.3648  0.4898
F  0.6352  0.1250  0.0102
F  0.8750  0.8852  0.5102

## Properties
- ΔE_f (raw): 0.237 eV/atom
- Polymorph energy (0 for the lowest one): 0.000 eV/atom
- VASP energy: -6.618 eV/atom

***

Record 2
# Re3OsF

A geometry-optimized Re3OsF structure (PBE, Alexandria via LeMat-Bulk).

a b c (Å): 4.1519 4.1519 4.1519
angles (deg): 90.00 90.00 90.00
Atoms (fractional coordinates):
Re  0.0000  0.0000  0.5000
Re  0.0000  0.5000  0.0000
Re  0.5000  0.0000  0.0000
Os  0.5000  0.5000  0.5000
F  0.0000  0.0000  0.0000

## Properties
- ΔE_f (raw): 1.350 eV/atom
- Polymorph energy (0 for the lowest one): 0.000 eV/atom
- VASP energy: -8.739 eV/atom

***

Record 3
# Re3OsF

A geometry-optimized Re3OsF structure (PBE, Alexandria via LeMat-Bulk).

a b c (Å): 4.7594 4.7594 4.7594
angles (deg): 90.00 90.00 90.00
Atoms (fractional coordinates):
Re  0.0000  0.0000  0.5000
Re  0.0000  0.5000  0.0000
Re  0.5000  0.0000  0.0000
Os  0.0000  0.0000  0.0000
F  0.5000  0.5000  0.5000

## Properties
- ΔE_f (raw): 2.237 eV/atom
- Polymorph energy (0 for the lowest one): 0.888 eV/atom
- VASP energy: -7.852 eV/atom

***

Record 4
# ReOsRhF2

A geometry-optimized ReOsRhF2 structure (PBE, Alexandria via LeMat-Bulk).

a b c (Å): 3.7940 3.7940 5.5485
angles (deg): 90.00 90.00 90.00
Atoms (fractional coordinates):
Re  0.0000  0.0000  0.0000
Os  0.5000  0.5000  0.0000
Rh  0.5000  0.5000  0.5000
F  0.0000  0.5000  0.5000
F  0.5000  0.0000  0.5000

## Properties
- ΔE_f (raw): 0.560 eV/atom
- VASP energy: -6.394 eV/atom

***

Record 5
# ReOsRuF2

A geometry-optimized ReOsRuF2 structure (PBE, Alexandria via LeMat-Bulk).

a b c (Å): 3.8591 3.8591 5.2005
angles (deg): 90.00 90.00 90.00
Atoms (fractional coordinates):
Re  0.0000  0.0000  0.0000
Os  0.5000  0.5000  0.5000
Ru  0.0000  0.0000  0.5000
F  0.0000  0.5000  0.0000
F  0.5000  0.0000  0.0000

## Properties
- ΔE_f (raw): 0.587 eV/atom
- VASP energy: -6.752 eV/atom

***

Record 6
# ReOsS2F

A geometry-optimized ReOsS2F structure (PBE, Alexandria via LeMat-Bulk).

a b c (Å): 4.4663 4.4663 3.8297
angles (deg): 90.00 90.00 90.00
Atoms (fractional coordinates):
Re  0.0000  0.0000  0.0000
Os  0.5000  0.5000  0.0000
S  0.0000  0.5000  0.5000
S  0.5000  0.0000  0.5000
F  0.5000  0.5000  0.5000

## Properties
- ΔE_f (raw): 1.605 eV/atom
- VASP energy: -5.156 eV/atom